# 1
Material: As3RuCl
Method: DFT, PBE
State: optimized geometry

Summary:
For the magnetization, the calculation gives 0.022 μB per formula unit. The space group is No. 221. The density comes out at 5.85 g/cm³. The calculation puts the total energy at -3.567 eV per atom. The uncorrected formation energy is 1.447 eV per atom.

Unit cell a=4.681 b=4.681 c=4.681 alpha=90.00 beta=90.00 gamma=90.00
Fractional positions:
As (0.500, 0.000, 0.000)
As (0.000, 0.500, 0.000)
Cl (0.000, 0.000, 0.000)
As (0.000, 0.000, 0.500)
Ru (0.500, 0.500, 0.500)

---

# 2
Material: BaTaGe2Se8
Method: DFT, PBE
State: optimized geometry

Summary:
For the magnetization, the calculation gives 0.001 μB per formula unit. The space group is No. 147. The density comes out at 5.53 g/cm³. The calculation puts the total energy at -4.812 eV per atom. The uncorrected formation energy is -0.571 eV per atom.

Unit cell a=6.457 b=6.457 c=9.099 alpha=90.00 beta=90.00 gamma=120.00
Fractional positions:
Ge (0.333, 0.667, 0.735)
Ge (0.667, 0.333, 0.265)
Se (0.694, 0.663, 0.667)
Se (0.663, 0.969, 0.333)
Ba (0.000, 0.000, 0.000)
Se (0.306, 0.337, 0.333)
Se (0.337, 0.031, 0.667)
Se (0.333, 0.667, 0.993)
Ta (0.000, 0.000, 0.500)
Se (0.031, 0.694, 0.333)
Se (0.667, 0.333, 0.007)
Se (0.969, 0.306, 0.667)

---

# 3
Material: La2SbAs2
Method: DFT, PBE
State: optimized geometry

Summary:
For the magnetization, the calculation gives 0.000 μB per formula unit. The space group is No. 127. The density comes out at 6.72 g/cm³. The calculation puts the total energy at -5.740 eV per atom. The uncorrected formation energy is -1.085 eV per atom.

Unit cell a=8.103 b=8.103 c=4.137 alpha=90.00 beta=90.00 gamma=90.00
Fractional positions:
As (0.348, 0.848, 0.000)
Sb (0.500, 0.500, 0.000)
La (0.841, 0.341, 0.500)
As (0.152, 0.348, 0.000)
As (0.848, 0.652, 0.000)
La (0.659, 0.841, 0.500)
Sb (0.000, 0.000, 0.000)
La (0.159, 0.659, 0.500)
La (0.341, 0.159, 0.500)
As (0.652, 0.152, 0.000)

---

# 4
Material: NiOs
Method: DFT, PBE
State: optimized geometry

Summary:
Its formation energy is 0.52 eV/atom. For the magnetization, the calculation gives 0.003 μB per formula unit. The space group is No. 194. The density comes out at 14.57 g/cm³. The calculation puts the total energy at -7.983 eV per atom.

Unit cell a=4.215 b=4.215 c=7.377 alpha=90.00 beta=90.00 gamma=120.00
Fractional positions:
Os (0.000, 0.000, 0.250)
Ni (0.333, 0.667, 0.415)
Os (0.333, 0.667, 0.750)
Ni (0.667, 0.333, 0.915)
Os (0.000, 0.000, 0.750)
Os (0.667, 0.333, 0.250)
Ni (0.667, 0.333, 0.585)
Ni (0.333, 0.667, 0.085)

---

# 5
Material: LiAu3Cl
Method: DFT, PBE
State: optimized geometry

Summary:
For the magnetization, the calculation gives 0.000 μB per formula unit. The space group is No. 221. The density comes out at 7.94 g/cm³. The calculation puts the total energy at -2.056 eV per atom. The uncorrected formation energy is 0.663 eV per atom.

Unit cell a=5.097 b=5.097 c=5.097 alpha=90.00 beta=90.00 gamma=90.00
Fractional positions:
Cl (0.000, 0.000, 0.000)
Au (0.500, 0.000, 0.000)
Au (0.000, 0.500, 0.000)
Au (0.000, 0.000, 0.500)
Li (0.500, 0.500, 0.500)

---

# 6
Material: PtS3Br
Method: DFT, PBE
State: optimized geometry

Summary:
For the magnetization, the calculation gives 0.000 μB per formula unit. The space group is No. 221. The density comes out at 5.79 g/cm³. The calculation puts the total energy at -3.324 eV per atom. The uncorrected formation energy is 0.695 eV per atom.

Unit cell a=4.740 b=4.740 c=4.740 alpha=90.00 beta=90.00 gamma=90.00
Fractional positions:
S (0.500, 0.000, 0.000)
Pt (0.000, 0.000, 0.000)
S (0.000, 0.000, 0.500)
Br (0.500, 0.500, 0.500)
S (0.000, 0.500, 0.000)